1.
Computed, not measured: a relaxed structure of Ag2AsPd3 at the PBE level of DFT.

The structure in POSCAR format:
```
Ag2AsPd3
1.0
7.0300 -2.9843 0.0000
7.0300 2.9843 0.0000
0.0000 0.0000 4.7736
Ag As Pd
4 2 6
direct
0.0406 0.2802 0.0000 Ag
0.2802 0.0406 0.5000 Ag
0.7198 0.9594 0.0000 Ag
0.9594 0.7198 0.5000 Ag
0.2077 0.7923 0.8864 As
0.7923 0.2077 0.3864 As
0.2212 0.4702 0.9997 Pd
0.3562 0.6438 0.3854 Pd
0.4702 0.2212 0.4997 Pd
0.5298 0.7788 0.9997 Pd
0.6438 0.3562 0.8854 Pd
0.7788 0.5298 0.4997 Pd
```

Computed properties:
Symmetry = Cmc2_1
Crystal system = orthorhombic



2.
Computed, not measured: a relaxed structure of YBiPtSe3 at the PBE level of DFT.

The structure in POSCAR format:
```
YBiPtSe3
1.0
10.8258 0.0000 0.0000
0.0000 3.9998 0.0000
0.0000 0.0000 14.2973
Y Bi Pt Se
4 4 4 12
direct
0.0198 0.2500 0.2453 Y
0.4802 0.7500 0.7453 Y
0.5198 0.2500 0.2547 Y
0.9802 0.7500 0.7547 Y
0.2305 0.7500 0.5557 Bi
0.2695 0.2500 0.0557 Bi
0.7305 0.7500 0.9443 Bi
0.7695 0.2500 0.4443 Bi
0.2360 0.2500 0.6905 Pt
0.2640 0.7500 0.1905 Pt
0.7360 0.2500 0.8095 Pt
0.7640 0.7500 0.3095 Pt
0.0188 0.2500 0.6123 Se
0.0574 0.7500 0.0999 Se
0.2329 0.7500 0.8159 Se
0.2671 0.2500 0.3159 Se
0.4426 0.2500 0.5999 Se
0.4812 0.7500 0.1123 Se
0.5188 0.2500 0.8877 Se
0.5574 0.7500 0.4001 Se
0.7329 0.7500 0.6841 Se
0.7671 0.2500 0.1841 Se
0.9426 0.2500 0.9001 Se
0.9812 0.7500 0.3877 Se
```

Computed properties:
Total magnetic moment = 0.00 μB per atom
Symmetry = Pnma
Crystal system = orthorhombic



3.
Computed, not measured: a relaxed structure of RbLiTb at the PBE level of DFT.

The structure in POSCAR format:
```
RbLiTb
1.0
8.0425 0.0000 0.0000
0.0000 8.0425 0.0000
0.0000 0.0000 8.0425
Rb Li Tb
4 4 4
direct
0.0000 0.0000 0.0000 Rb
0.0000 0.5000 0.5000 Rb
0.5000 0.0000 0.5000 Rb
0.5000 0.5000 0.0000 Rb
0.2500 0.2500 0.2500 Li
0.2500 0.7500 0.7500 Li
0.7500 0.2500 0.7500 Li
0.7500 0.7500 0.2500 Li
0.0000 0.0000 0.5000 Tb
0.0000 0.5000 0.0000 Tb
0.5000 0.0000 0.0000 Tb
0.5000 0.5000 0.5000 Tb
```

Computed properties:
Total magnetic moment = 0.06 μB per atom
Distance to the lowest polymorph of the same formula = 0 meV/atom
Symmetry = F-43m
Crystal system = cubic



4.
Computed, not measured: a relaxed structure of NbSb at the PBE level of DFT.

The structure in POSCAR format:
```
NbSb
1.0
5.5348 0.0000 0.0000
0.0000 4.6368 0.0000
0.0000 0.0000 7.3117
Nb Sb
4 4
direct
0.0000 0.0000 0.0000 Nb
0.2500 0.5000 0.1543 Nb
0.5000 0.0000 0.0000 Nb
0.7500 0.5000 0.8457 Nb
0.2500 0.0000 0.3783 Sb
0.2500 0.5000 0.7647 Sb
0.7500 0.0000 0.6217 Sb
0.7500 0.5000 0.2353 Sb
```

Computed properties:
Total magnetic moment = 0.00 μB per atom
Symmetry = Pmma
Crystal system = orthorhombic



5.
Computed, not measured: a relaxed structure of PtCl4 at the PBE level of DFT.

The structure in POSCAR format:
```
PtCl4
1.0
5.5203 0.0000 0.0000
0.0000 3.5145 0.0000
-0.3536 0.0000 6.0190
Pt Cl
1 4
direct
0.0000 0.0000 0.0000 Pt
0.2143 0.5000 0.8367 Cl
0.2851 0.0000 0.3040 Cl
0.7150 0.0000 0.6960 Cl
0.7857 0.5000 0.1633 Cl
```

Computed properties:
Total magnetic moment = 0.00 μB per atom
Symmetry = P2/m
Crystal system = monoclinic



6.
Computed, not measured: a relaxed structure of Nd2DyAs3 at the PBE level of DFT.

The structure in POSCAR format:
```
Nd2DyAs3
1.0
4.2180 0.0000 0.0000
-2.1090 3.6529 0.0000
0.0000 0.0000 10.3283
Nd Dy As
2 1 3
direct
0.3333 0.6667 0.3294 Nd
0.6667 0.3333 0.6706 Nd
0.0000 0.0000 0.0000 Dy
0.0000 0.0000 0.5000 As
0.3333 0.6667 0.8414 As
0.6667 0.3333 0.1586 As
```

Computed properties:
Total magnetic moment = 0.00 μB per atom
Symmetry = P-3m1
Crystal system = trigonal



7.
Computed, not measured: a relaxed structure of CsZrAuS3 at the PBE level of DFT.

The structure in POSCAR format:
```
CsZrAuS3
1.0
10.4364 0.0000 0.0000
0.0000 3.8635 0.0000
0.0000 0.0000 15.7840
Cs Zr Au S
4 4 4 12
direct
0.2442 0.2500 0.0061 Cs
0.2558 0.7500 0.5061 Cs
0.7442 0.2500 0.4939 Cs
0.7558 0.7500 0.9939 Cs
0.0216 0.7500 0.2461 Zr
0.4784 0.2500 0.7461 Zr
0.5216 0.7500 0.2539 Zr
0.9784 0.2500 0.7539 Zr
0.2378 0.2500 0.3039 Au
0.2622 0.7500 0.8039 Au
0.7378 0.2500 0.1961 Au
0.7622 0.7500 0.6961 Au
0.0228 0.2500 0.3599 S
0.0451 0.7500 0.8590 S
0.2382 0.7500 0.1894 S
0.2618 0.2500 0.6894 S
0.4549 0.2500 0.3590 S
0.4772 0.7500 0.8599 S
0.5228 0.2500 0.1401 S
0.5451 0.7500 0.6410 S
0.7382 0.7500 0.3106 S
0.7618 0.2500 0.8106 S
0.9549 0.2500 0.1410 S
0.9772 0.7500 0.6401 S
```

Computed properties:
Total magnetic moment = 0.00 μB per atom
Distance to the lowest polymorph of the same formula = 10 meV/atom
Symmetry = Pnma
Crystal system = orthorhombic



8.
Computed, not measured: a relaxed structure of K2Zn2BiSb at the PBE level of DFT.

The structure in POSCAR format:
```
K2Zn2BiSb
1.0
4.6479 0.0000 0.0000
-2.3240 4.0252 0.0000
0.0000 0.0000 10.6511
K Zn Bi Sb
2 2 1 1
direct
0.0000 0.0000 0.2482 K
0.0000 0.0000 0.7518 K
0.3333 0.6667 0.0000 Zn
0.6667 0.3333 0.5000 Zn
0.3333 0.6667 0.5000 Bi
0.6667 0.3333 0.0000 Sb
```

Computed properties:
Symmetry = P-6m2
Crystal system = hexagonal



9.
Computed, not measured: a relaxed structure of Tb2Hg3Pb3 at the PBE level of DFT.

The structure in POSCAR format:
```
Tb2Hg3Pb3
1.0
4.7091 0.0000 0.0000
0.0000 4.8581 0.0000
0.0000 0.0000 9.1727
Tb Hg Pb
2 3 3
direct
0.0000 0.0000 0.2479 Tb
0.0000 0.0000 0.7521 Tb
0.0000 0.5000 0.0000 Hg
0.5000 0.5000 0.2427 Hg
0.5000 0.5000 0.7573 Hg
0.0000 0.5000 0.5000 Pb
0.5000 0.0000 0.0000 Pb
0.5000 0.0000 0.5000 Pb
```

Computed properties:
Total magnetic moment = 0.00 μB per atom
Symmetry = Pmmm
Crystal system = orthorhombic



10.
Computed, not measured: a relaxed structure of Sc2Mo4P3N3 at the PBE level of DFT.

The structure in POSCAR format:
```
Sc2Mo4P3N3
1.0
4.8623 -2.8495 0.0000
4.8623 2.8495 0.0000
-3.1665 0.0000 11.3463
Sc Mo P N
4 8 6 6
direct
0.0333 0.8630 0.6058 Sc
0.1370 0.9667 0.8942 Sc
0.8630 0.0333 0.1058 Sc
0.9667 0.1370 0.3942 Sc
0.2019 0.3774 0.0906 Mo
0.3196 0.4519 0.4093 Mo
0.3774 0.2019 0.5906 Mo
0.4519 0.3196 0.9093 Mo
0.5481 0.6804 0.0907 Mo
0.6226 0.7981 0.4094 Mo
0.6804 0.5481 0.5907 Mo
0.7981 0.6226 0.9094 Mo
0.0757 0.2809 0.7486 P
0.2809 0.0757 0.2486 P
0.4388 0.5612 0.7500 P
0.5612 0.4388 0.2500 P
0.7191 0.9243 0.7514 P
0.9243 0.7191 0.2514 P
0.0000 0.5000 0.5000 N
0.1570 0.6873 0.0004 N
0.3127 0.8430 0.4996 N
0.5000 0.0000 0.0000 N
0.6873 0.1570 0.5004 N
0.8430 0.3127 0.9996 N
```

Computed properties:
Total magnetic moment = 0.00 μB per atom
Symmetry = C2/c
Crystal system = monoclinic



11.
Computed, not measured: a relaxed structure of Gd2Fe12P7 at the PBE level of DFT.

The structure in POSCAR format:
```
Gd2Fe12P7
1.0
8.9714 0.0000 0.0000
-4.4857 7.7694 0.0000
0.0000 0.0000 3.6421
Gd Fe P
2 12 7
direct
0.0000 0.0000 0.0000 Gd
0.3333 0.6667 0.5000 Gd
0.0500 0.7647 0.5000 Fe
0.0934 0.3884 0.0000 Fe
0.2353 0.2853 0.5000 Fe
0.2950 0.9066 0.0000 Fe
0.3925 0.2138 0.0000 Fe
0.5475 0.1182 0.5000 Fe
0.5707 0.4525 0.5000 Fe
0.6116 0.7050 0.0000 Fe
0.7147 0.9500 0.5000 Fe
0.7862 0.1786 0.0000 Fe
0.8214 0.6075 0.0000 Fe
0.8818 0.4293 0.5000 Fe
0.0759 0.6298 0.0000 P
0.2666 0.0438 0.5000 P
0.3702 0.4461 0.0000 P
0.5539 0.9241 0.0000 P
0.6667 0.3333 0.0000 P
0.7772 0.7334 0.5000 P
0.9562 0.2228 0.5000 P
```

Computed properties:
Total magnetic moment = 0.04 μB per atom
Symmetry = P-6
Crystal system = hexagonal



12.
Computed, not measured: a relaxed structure of TbCdCuSe3 at the PBE level of DFT.

The structure in POSCAR format:
```
TbCdCuSe3
1.0
1.9703 -6.4982 0.0000
1.9703 6.4982 0.0000
0.0000 0.0000 10.7256
Tb Cd Cu Se
2 2 2 6
direct
0.0000 0.0000 0.0000 Tb
0.0000 0.0000 0.5000 Tb
0.2357 0.7643 0.7500 Cd
0.7643 0.2357 0.2500 Cd
0.4759 0.5241 0.2500 Cu
0.5241 0.4759 0.7500 Cu
0.0971 0.9029 0.2500 Se
0.3540 0.6460 0.0767 Se
0.3540 0.6460 0.4233 Se
0.6460 0.3540 0.5767 Se
0.6460 0.3540 0.9233 Se
0.9029 0.0971 0.7500 Se
```

Computed properties:
Total magnetic moment = 0.00 μB per atom
Distance to the lowest polymorph of the same formula = 10 meV/atom
Symmetry = Cmcm
Crystal system = orthorhombic



| no. | ρ (g cm⁻³) | energy (eV for the cell shown) |
| --- | --- | --- |
| 1 | 10.11 | -52.06 |
| 2 | 7.83 | -129.54 |
| 3 | 3.21 | -19.90 |
| 4 | 7.60 | -57.40 |
| 5 | 4.79 | -15.01 |
| 6 | 7.05 | -37.18 |
| 7 | 5.40 | -126.81 |
| 8 | 4.50 | -14.99 |
| 9 | 12.20 | -23.98 |
| 10 | 6.43 | -212.29 |
| 11 | 7.86 | -161.64 |
| 12 | 6.91 | -50.38 |